Crystalline PrMn2O5 at its relaxed geometry. Source: the Alexandria database, functional PBE+U.

Computed properties:
- Calculated volume: 12.2 A^3/atom
- Energy above the lowest structure with this stoichiometry: 0.00 kJ/mol of atoms
- E_tot: -247.1 eV/cell

Unit cell a=7.6528 b=8.7611 c=5.8391 alpha=90.00 beta=90.00 gamma=90.00
Space group Pbam (No. 55)
Asymmetric unit:
Pr  0.1420  0.1722  0.0000
Mn  0.0000  0.5000  0.2572
Mn  0.0903  0.8507  0.5000
O  0.0000  0.0000  0.2777
O  0.0983  0.7067  0.2482
O  0.1518  0.4359  0.5000
O  0.1567  0.4480  0.0000